Material: TaAlSe2
Method: DFT, GGA-PBEsol
State: optimized geometry

```
data_TaAlSe2
_chemical_formula_sum 'Ta2 Al2 Se4'
_cell_length_a 4.951
_cell_length_b 3.400
_cell_length_c 8.889
_cell_angle_alpha 90.00
_cell_angle_beta 90.00
_cell_angle_gamma 90.00
_symmetry_space_group_name_H-M 'A m m 2'
_symmetry_Int_Tables_number 38
loop_
_symmetry_equiv_pos_as_xyz
'x,y,z'
'-x,-y,z'
'-x,y,z'
'x,-y,z'
'x,y+1/2,z+1/2'
'-x,-y+1/2,z+1/2'
'-x,y+1/2,z+1/2'
'x,-y+1/2,z+1/2'
loop_
_atom_site_label
_atom_site_type_symbol
_atom_site_fract_x
_atom_site_fract_y
_atom_site_fract_z
Ta1 Ta 0.000 0.000 0.000
Al1 Al 0.500 0.000 0.405
Se1 Se 0.000 0.000 0.714
Se2 Se 0.500 0.000 0.110
```

## Properties
- E_tot: -6.41 eV/atom
- Crystal system: orthorhombic
- DOS(E_F): 0.26 states/eV per atom
- Total magnetization: 0.0000 μB/atom